(1)
Compound: Y2SiAg
Source: the Alexandria database
Functional: PBE-GGA
Structure: relaxed

The formation energy without anion corrections comes out at -37 kJ/mol of atoms.

It has space group Imm2 (No. 44), with a = 3.8689 Å, b = 4.4961 Å, c = 10.6131 Å, α = 90.00°, β = 90.00° and γ = 90.00°. Symmetry generates all atoms from Y at (0.0000, 0.0000, 0.0000), Y at (0.0000, 0.5000, 0.2321), Si at (0.0000, 0.0000, 0.4600) and Ag at (0.0000, 0.5000, 0.7766).

(2)
Compound: GaBPd2
Source: the Alexandria database
Functional: PBE-GGA
Structure: relaxed

The value obtained for the energy above the most stable polymorph in this dataset is 0.0371 eV per atom. The value obtained for the formation energy from the elements is 124 meV per atom.

It has space group Fm-3m (No. 225), with a = 5.9311 Å, b = 5.9311 Å, c = 5.9311 Å, α = 90.00°, β = 90.00° and γ = 90.00°. Symmetry generates all atoms from Ga at (0.0000, 0.0000, 0.0000), B at (0.0000, 0.0000, 0.5000) and Pd at (0.2500, 0.2500, 0.2500).

(3)
Compound: Ba2GaNiH6
Source: the Alexandria database
Functional: PBE-GGA
Structure: relaxed

It has space group C2/m (No. 12), with a = 8.0618 Å, b = 8.0561 Å, c = 5.7177 Å, α = 90.00°, β = 134.70° and γ = 90.00°. Symmetry generates all atoms from Ba at (0.0000, 0.2501, 0.0000), Ga at (0.0000, 0.0000, 0.5000), Ni at (0.0000, 0.5000, 0.5000), H at (0.0000, 0.2943, 0.5000), H at (0.2050, 0.5000, 0.4987) and H at (0.2047, 0.5000, 0.9099).

(4)
Compound: SbOs2S
Source: the Alexandria database
Functional: PBE-GGA
Structure: relaxed

The value obtained for the energy above the most stable polymorph in this dataset is 0.2791 eV per atom. The formation energy without anion corrections comes out at 76 kJ/mol of atoms.

It has space group Fm-3m (No. 225), with a = 6.3349 Å, b = 6.3349 Å, c = 6.3349 Å, α = 90.00°, β = 90.00° and γ = 90.00°. Symmetry generates all atoms from Sb at (0.0000, 0.0000, 0.0000), Os at (0.2500, 0.2500, 0.2500) and S at (0.0000, 0.0000, 0.5000).

(5)
Compound: SiTc3Se
Source: the Alexandria database
Functional: PBE-GGA
Structure: relaxed

The value obtained for the energy above the most stable polymorph in this dataset is 0.0000 eV per atom. The formation energy without anion corrections comes out at 101 kJ/mol of atoms.

It has space group Pm-3m (No. 221), with a = 4.4623 Å, b = 4.4623 Å, c = 4.4623 Å, α = 90.00°, β = 90.00° and γ = 90.00°. Symmetry generates all atoms from Si at (0.0000, 0.0000, 0.0000), Tc at (0.0000, 0.0000, 0.5000) and Se at (0.5000, 0.5000, 0.5000).

(6)
Compound: AcTb3Mg4
Source: the Alexandria database
Functional: PBE-GGA
Structure: relaxed

The value obtained for the formation energy from the elements is -68 meV per atom.

It has space group P4/mmm (No. 123), with a = 5.4781 Å, b = 5.4781 Å, c = 7.7827 Å, α = 90.00°, β = 90.00° and γ = 90.00°. Symmetry generates all atoms from Ac at (0.0000, 0.0000, 0.0000), Tb at (0.0000, 0.0000, 0.5000), Tb at (0.5000, 0.5000, 0.0000), Tb at (0.5000, 0.5000, 0.5000) and Mg at (0.0000, 0.5000, 0.2655).

The total DFT energy (no corrections) results, record by record, are as follows: -5.686; -4.899; -3.588; -6.892; -6.959; -3.116 eV/atom.
The total moment results, record by record, are as follows: 0.00; 0.00; 0.00; 0.00; 1.13; 0.00 μB/f.u..
The ρ results, record by record, are as follows: 5.64; 9.34; 5.15; 13.96; 7.49; 5.70 Mg/m³.